No. 1
A geometry-optimized TiBeCd2Ru structure, computed with GGA-PBE.

```
data_TiBeCd2Ru
_symmetry_space_group_name_H-M 'P 4/m m m'
_symmetry_Int_Tables_number 123
_symmetry_space_group_name_Hall '-P 4 2'
_cell_length_a 4.394
_cell_length_b 4.394
_cell_length_c 4.521
_cell_angle_alpha 90.00
_cell_angle_beta 90.00
_cell_angle_gamma 90.00
loop_
_atom_site_label
_atom_site_fract_x
_atom_site_fract_y
_atom_site_fract_z
_atom_site_occupancy
Ti1 0.000 0.000 0.000 1
Be1 0.000 0.000 0.500 1
Cd1 0.000 0.500 0.500 1
Ru1 0.500 0.500 0.000 1
```

## Properties
ΔE_f: 0.72 eV/atom
density of states at the Fermi level: 0.92 states/eV/atom

***

No. 2
A geometry-optimized BeCdS2 structure, computed with GGA-PBE.

```
data_BeCdS2
_symmetry_space_group_name_H-M 'P -4 m 2'
_symmetry_Int_Tables_number 115
_cell_length_a 3.725
_cell_length_b 3.725
_cell_length_c 5.645
_cell_angle_alpha 90.00
_cell_angle_beta 90.00
_cell_angle_gamma 90.00
loop_
_symmetry_equiv_pos_as_xyz
'x,y,z'
'y,-x,-z'
'-x,-y,z'
'-y,x,-z'
'-x,y,z'
'-y,-x,-z'
'x,-y,z'
'y,x,-z'
loop_
_atom_site_label
_atom_site_fract_x
_atom_site_fract_y
_atom_site_fract_z
_atom_site_occupancy
Be1 0.000 0.000 0.000 1
Cd1 0.500 0.500 0.500 1
S1 0.000 0.500 0.803 1
```

## Properties
energy above the most stable polymorph in this dataset: 6.0 kJ/mol of atoms
density of states at the Fermi level: 0.00 states/eV/atom
formation energy without anion corrections: -754.5 meV/atom

***

No. 3
A geometry-optimized BeCdS2 structure, computed with GGA-PBE.

```
data_BeCdS2
_symmetry_space_group_name_H-M 'C m c m'
_symmetry_Int_Tables_number 63
_symmetry_space_group_name_Hall '-C 2c 2'
_cell_length_a 3.799
_cell_length_b 19.085
_cell_length_c 4.204
_cell_angle_alpha 90.00
_cell_angle_beta 90.00
_cell_angle_gamma 90.00
loop_
_atom_site_label
_atom_site_fract_x
_atom_site_fract_y
_atom_site_fract_z
_atom_site_occupancy
Be1 0.000 0.062 0.250 1
Cd1 0.000 0.325 0.250 1
S1 0.000 0.051 0.750 1
S2 0.000 0.180 0.250 1
```

## Properties
energy above the most stable polymorph in this dataset: 50.4 kJ/mol of atoms
density of states at the Fermi level: 0.07 states/eV/atom
formation energy without anion corrections: -293.9 meV/atom

***

No. 4
A geometry-optimized BeCdS2 structure, computed with GGA-PBE.

```
data_BeCdS2
_symmetry_space_group_name_H-M 'I 4/m c m'
_symmetry_Int_Tables_number 140
_symmetry_space_group_name_Hall '-I 4 2c'
_cell_length_a 6.601
_cell_length_b 6.601
_cell_length_c 6.441
_cell_angle_alpha 90.00
_cell_angle_beta 90.00
_cell_angle_gamma 90.00
loop_
_atom_site_label
_atom_site_fract_x
_atom_site_fract_y
_atom_site_fract_z
_atom_site_occupancy
Be1 0.000 0.000 0.250 1
Cd1 0.000 0.500 0.250 1
S1 0.212 0.288 0.000 1
```

## Properties
energy above the most stable polymorph in this dataset: 103.6 kJ/mol of atoms
density of states at the Fermi level: 0.09 states/eV/atom
formation energy without anion corrections: 256.9 meV/atom

***

No. 5
A geometry-optimized BeCdS2 structure, computed with GGA-PBE.

```
data_BeCdS2
_symmetry_space_group_name_H-M 'P 3 m 1'
_symmetry_Int_Tables_number 156
_cell_length_a 3.7398
_cell_length_b 3.7398
_cell_length_c 6.1409
_cell_angle_alpha 90.00
_cell_angle_beta 90.00
_cell_angle_gamma 120.00
loop_
_symmetry_equiv_pos_as_xyz
'x,y,z'
'-y,x-y,z'
'-x+y,-x,z'
'-y,-x,z'
'-x+y,y,z'
'x,x-y,z'
loop_
_atom_site_label
_atom_site_fract_x
_atom_site_fract_y
_atom_site_fract_z
_atom_site_occupancy
Be1 0.0000 0.0000 0.0000 1
Cd1 0.6667 0.3333 0.5384 1
S1 0.0000 0.0000 0.3313 1
S2 0.3333 0.6667 0.8824 1
```

## Properties
energy above the most stable polymorph in this dataset: 21.5 kJ/mol of atoms
density of states at the Fermi level: 0.00 states/eV/atom
formation energy without anion corrections: -593.6 meV/atom

***

No. 6
A geometry-optimized BeCd2S2 structure, computed with GGA-PBE.

```
data_BeCd2S2
_symmetry_space_group_name_H-M 'I 4/m m m'
_symmetry_Int_Tables_number 139
_symmetry_space_group_name_Hall '-I 4 2'
_cell_length_a 4.524
_cell_length_b 4.524
_cell_length_c 12.512
_cell_angle_alpha 90.00
_cell_angle_beta 90.00
_cell_angle_gamma 90.00
loop_
_atom_site_label
_atom_site_fract_x
_atom_site_fract_y
_atom_site_fract_z
_atom_site_occupancy
Be1 0.000 0.000 0.000 1
Cd1 0.000 0.500 0.250 1
S1 0.000 0.000 0.358 1
```

## Properties
energy above the most stable polymorph in this dataset: 30.6 kJ/mol of atoms
density of states at the Fermi level: 0.00 states/eV/atom
formation energy without anion corrections: 368.4 meV/atom

***

No. 7
A geometry-optimized BeCdS2 structure, computed with GGA-PBE.

```
data_BeCdS2
_symmetry_space_group_name_H-M 'C 1 2/c 1'
_symmetry_Int_Tables_number 15
_cell_length_a 11.165
_cell_length_b 8.753
_cell_length_c 12.970
_cell_angle_alpha 90.00
_cell_angle_beta 103.67
_cell_angle_gamma 90.00
loop_
_symmetry_equiv_pos_as_xyz
'x,y,z'
'-x,-y,-z'
'-x,y,-z+1/2'
'x,-y,z+1/2'
'x+1/2,y+1/2,z'
'-x+1/2,-y+1/2,-z'
'-x+1/2,y+1/2,-z+1/2'
'x+1/2,-y+1/2,z+1/2'
loop_
_atom_site_label
_atom_site_fract_x
_atom_site_fract_y
_atom_site_fract_z
_atom_site_occupancy
Be1 0.072 0.221 0.142 1
Be2 0.149 0.492 0.338 1
Cd1 0.088 0.178 0.636 1
Cd2 0.209 0.062 0.398 1
S1 0.000 0.083 0.250 1
S2 0.000 0.364 0.750 1
S3 0.093 0.326 0.444 1
S4 0.174 0.070 0.066 1
S5 0.202 0.375 0.218 1
```

## Properties
energy above the most stable polymorph in this dataset: 16.0 kJ/mol of atoms
density of states at the Fermi level: 0.00 states/eV/atom
formation energy without anion corrections: -650.9 meV/atom

***

No. 8
A geometry-optimized BeCdS2 structure, computed with GGA-PBE.

```
data_BeCdS2
_symmetry_space_group_name_H-M 'C 1 2/m 1'
_symmetry_Int_Tables_number 12
_cell_length_a 6.860
_cell_length_b 3.358
_cell_length_c 6.472
_cell_angle_alpha 90.00
_cell_angle_beta 112.29
_cell_angle_gamma 90.00
loop_
_symmetry_equiv_pos_as_xyz
'x,y,z'
'-x,-y,-z'
'-x,y,-z'
'x,-y,z'
'x+1/2,y+1/2,z'
'-x+1/2,-y+1/2,-z'
'-x+1/2,y+1/2,-z'
'x+1/2,-y+1/2,z'
loop_
_atom_site_label
_atom_site_fract_x
_atom_site_fract_y
_atom_site_fract_z
_atom_site_occupancy
Be1 0.000 0.000 0.000 1
Cd1 0.000 0.500 0.500 1
S1 0.185 0.500 0.214 1
```

## Properties
energy above the most stable polymorph in this dataset: 36.2 kJ/mol of atoms
density of states at the Fermi level: 0.00 states/eV/atom
formation energy without anion corrections: -441.8 meV/atom

***

No. 9
A geometry-optimized BeCdS2 structure, computed with GGA-PBE.

```
data_BeCdS2
_symmetry_space_group_name_H-M 'P 3 m 1'
_symmetry_Int_Tables_number 156
_cell_length_a 3.6142
_cell_length_b 3.6142
_cell_length_c 6.5178
_cell_angle_alpha 90.00
_cell_angle_beta 90.00
_cell_angle_gamma 120.00
loop_
_symmetry_equiv_pos_as_xyz
'x,y,z'
'-y,x-y,z'
'-x+y,-x,z'
'-y,-x,z'
'-x+y,y,z'
'x,x-y,z'
loop_
_atom_site_label
_atom_site_fract_x
_atom_site_fract_y
_atom_site_fract_z
_atom_site_occupancy
Be1 0.0000 0.0000 0.0000 1
Cd1 0.3333 0.6667 0.5043 1
S1 0.3333 0.6667 0.8912 1
S2 0.6667 0.3333 0.2832 1
```

## Properties
energy above the most stable polymorph in this dataset: 32.4 kJ/mol of atoms
density of states at the Fermi level: 0.00 states/eV/atom
formation energy without anion corrections: -480.5 meV/atom

***

No. 10
A geometry-optimized BeCd3S4 structure, computed with GGA-PBE.

```
data_BeCd3S4
_symmetry_space_group_name_H-M 'P -4 3 m'
_symmetry_Int_Tables_number 215
_symmetry_space_group_name_Hall 'P -4 2 3'
_cell_length_a 5.651
_cell_length_b 5.651
_cell_length_c 5.651
_cell_angle_alpha 90.00
_cell_angle_beta 90.00
_cell_angle_gamma 90.00
loop_
_atom_site_label
_atom_site_fract_x
_atom_site_fract_y
_atom_site_fract_z
_atom_site_occupancy
Be1 0.000 0.000 0.000 1
Cd1 0.000 0.500 0.500 1
S1 0.220 0.220 0.220 1
```

## Properties
energy above the most stable polymorph in this dataset: 1.9 kJ/mol of atoms
density of states at the Fermi level: 0.00 states/eV/atom
formation energy without anion corrections: -693.3 meV/atom

***

No. 11
A geometry-optimized BeCdS2 structure, computed with GGA-PBE.

```
data_BeCdS2
_symmetry_space_group_name_H-M 'P 1 21/m 1'
_symmetry_Int_Tables_number 11
_cell_length_a 6.772
_cell_length_b 3.835
_cell_length_c 6.808
_cell_angle_alpha 90.00
_cell_angle_beta 95.62
_cell_angle_gamma 90.00
loop_
_symmetry_equiv_pos_as_xyz
'x,y,z'
'-x,-y,-z'
'-x,y+1/2,-z'
'x,-y+1/2,z'
loop_
_atom_site_label
_atom_site_fract_x
_atom_site_fract_y
_atom_site_fract_z
_atom_site_occupancy
Be1 0.090 0.250 0.133 1
Cd1 0.393 0.250 0.688 1
S1 0.061 0.250 0.820 1
S2 0.363 0.250 0.294 1
```

## Properties
energy above the most stable polymorph in this dataset: 10.3 kJ/mol of atoms
density of states at the Fermi level: 0.00 states/eV/atom
formation energy without anion corrections: -709.6 meV/atom

***

No. 12
A geometry-optimized BeCdS2 structure, computed with GGA-PBE.

```
data_BeCdS2
_symmetry_space_group_name_H-M 'P n m a'
_symmetry_Int_Tables_number 62
_cell_length_a 9.309
_cell_length_b 3.773
_cell_length_c 10.282
_cell_angle_alpha 90.00
_cell_angle_beta 90.00
_cell_angle_gamma 90.00
loop_
_symmetry_equiv_pos_as_xyz
'x,y,z'
'-x,-y,-z'
'-x+1/2,-y,z+1/2'
'x+1/2,y,-z+1/2'
'x+1/2,-y+1/2,-z+1/2'
'-x+1/2,y+1/2,z+1/2'
'-x,y+1/2,-z'
'x,-y+1/2,z'
loop_
_atom_site_label
_atom_site_fract_x
_atom_site_fract_y
_atom_site_fract_z
_atom_site_occupancy
Be1 0.109 0.250 0.041 1
Cd1 0.056 0.250 0.646 1
S1 0.030 0.750 0.125 1
S2 0.171 0.750 0.521 1
```

## Properties
energy above the most stable polymorph in this dataset: 10.7 kJ/mol of atoms
density of states at the Fermi level: 0.00 states/eV/atom
formation energy without anion corrections: -705.3 meV/atom

***

Q: density of states at the Fermi level of number 2 (BeCdS2)?
A: 0.00 states/eV/atom